Cs2TaMnSe4 (PBE, relaxed); energy relative to the elements, uncorrected = -0.982 eV per atom; crystal system = orthorhombic
1.0
5.847 0.000 0.000
2.923 7.550 0.000
2.923 0.000 13.194
Se Mn Ta Cs
8 2 2 4
Cartesian
5.897 5.207 5.187
4.435 1.432 1.411
4.335 1.432 11.784
2.873 2.343 5.187
5.897 2.343 8.008
8.720 5.207 8.008
4.335 6.118 1.411
10.282 6.118 11.784
4.385 3.775 6.597
2.923 0.000 0.000
7.309 3.775 6.597
0.000 0.000 0.000
2.923 0.000 8.534
5.847 0.000 4.660
7.309 3.775 1.937
7.309 3.775 11.257